DFT (PBE) results for a geometry-optimized Ac5NdY2 structure.

a = 5.4685 Å, b = 7.6682 Å, c = 15.3320 Å
α = 90.00°, β = 90.00°, γ = 90.00°
Atoms (fractional coordinates):
Ac  0.0000  0.0000  0.0000
Ac  0.0000  0.5000  0.5000
Ac  0.0000  0.5072  0.7527
Ac  0.0000  0.4928  0.2473
Ac  0.0000  0.9928  0.2527
Ac  0.0000  0.0072  0.7473
Ac  0.5000  0.2571  0.8778
Ac  0.5000  0.7429  0.1222
Ac  0.5000  0.2429  0.3778
Ac  0.5000  0.7571  0.6222
Nd  0.0000  0.0000  0.5000
Nd  0.0000  0.5000  0.0000
Y  0.5000  0.2540  0.6242
Y  0.5000  0.7460  0.3758
Y  0.5000  0.2460  0.1242
Y  0.5000  0.7540  0.8758

ΔE_f: 32 meV/atom
Symmetry: No. 55

***

DFT (PBE) results for a geometry-optimized TbPm2Er4Th structure.

a = 5.0743 Å, b = 5.0572 Å, c = 11.1458 Å
α = 63.03°, β = 90.00°, γ = 90.00°
Atoms (fractional coordinates):
Tb  0.5000  0.5000  0.0000
Pm  0.0000  0.0000  0.0000
Pm  0.5000  0.0000  0.5000
Er  0.0000  0.7530  0.7470
Er  0.0000  0.2470  0.2530
Er  0.5000  0.7465  0.2533
Er  0.5000  0.2535  0.7467
Th  0.0000  0.5000  0.5000

ΔE_f: 30 meV/atom
Symmetry: No. 47

***

no.,DOS at the Fermi energy (states/eV per atom)
1,1.265
2,1.387